Entry 1:
Compound: GdYAlTc
Source: Alexandria via LeMat-Bulk
Functional: PBE-GGA
Structure: optimized geometry

Cell lengths 4.9983, 4.9983, 4.9983 Å; angles 60.00, 60.00, 60.00 degrees
Positions (direct):
Al 0.5000 0.5000 0.5000
Tc 0.0000 0.0000 0.0000
Y 0.7500 0.7500 0.7500
Gd 0.2500 0.2500 0.2500

- volume (Å³/cell) = 88.3
- ΔH_f (0 K) (kcal/mol of atoms) = -3.02
- VASP energy (eV/atom) = -8.794
- mass density (kg/m³) = 6980
- space-group type = F-43m, No. 216

***

Entry 2:
Compound: EuYTe
Source: Alexandria via LeMat-Bulk
Functional: PBE-GGA
Structure: optimized geometry

Cell lengths 4.2756, 5.2361, 5.2361 Å; angles 120.00, 90.00, 90.00 degrees
Positions (direct):
Eu 0.6667 0.6667 0.3333
Y 0.1667 0.0000 0.0000
Te 0.1666 0.3333 0.6667

- volume (Å³/cell) = 101.5
- E_form (uncorrected) (kJ/mol of formula units) = -177.4
- VASP energy (eV/atom) = -7.240
- mass density (kg/m³) = 6027
- space-group type = P-6m2, No. 187

***

Entry 3:
Compound: LiTlMo2
Source: Alexandria via LeMat-Bulk
Functional: PBE-GGA
Structure: optimized geometry

Cell lengths 4.7982, 2.8114, 5.2477 Å; angles 76.44, 90.00, 90.00 degrees
Positions (direct):
Li 0.5000 0.7500 0.7500
Mo 0.0000 0.0293 0.9755
Mo 0.0000 0.4707 0.5245
Tl 0.5000 0.2500 0.2500

- volume (Å³/cell) = 68.8
- ΔH_f (0 K) (kcal/mol of atoms) = 11.41
- distance to the lowest polymorph of the same formula (meV/atom) = 211
- VASP energy (eV/atom) = -5.991
- mass density (kg/m³) = 9729
- space-group type = P2/m, No. 10